Below is a relaxed structure of SiWAu2, with properties calculated at the PBE level.

Geometry as extended XYZ:
```
8
Lattice="3.974 0.000 0.000 0.000 3.995 0.000 0.000 0.000 8.450" Properties=species:S:1:pos:R:3 pbc="T T T"
Si 0.000 0.000 0.000
Si 1.987 1.997 0.000
W 0.000 0.000 4.225
W 1.987 1.997 4.225
Au 0.000 1.997 2.111
Au 0.000 1.997 6.339
Au 1.987 0.000 2.111
Au 1.987 0.000 6.339
```

Output
For the uncorrected formation energy, the calculation gives 0.40 eV per atom.